Material: Rb2Sc2Sb2O
Method: DFT, GGA-PBE
State: relaxed

Output
space group: I4/mmm, No. 139
formation energy from raw total energies: -127.4 kJ/mol of atoms

```
data_Rb2Sc2Sb2O
_chemical_formula_sum 'Rb2 Sc2 Sb2 O1'
_symmetry_space_group_name_H-M 'P 1'
_symmetry_Int_Tables_number 1
_symmetry_space_group_name_Hall 'P 1'
_cell_length_a 4.5379
_cell_length_b 4.5379
_cell_length_c 10.2164
_cell_angle_alpha 102.83
_cell_angle_beta 102.83
_cell_angle_gamma 90.00
loop_
_atom_site_label
_atom_site_fract_x
_atom_site_fract_y
_atom_site_fract_z
Sb1 0.6029 0.6029 0.2059
Rb1 0.8208 0.8208 0.6416
O1 0.0000 0.0000 0.0000
Sb2 0.3971 0.3971 0.7941
Rb2 0.1792 0.1792 0.3584
Sc1 0.5000 0.0000 0.0000
Sc2 0.0000 0.5000 0.0000
```

Material: Rb2ScSbO6
Method: DFT, GGA-PBE
State: relaxed

Output
space group: Fm-3m, No. 225
formation energy from raw total energies: -167.4 kJ/mol of atoms

```
data_Rb2ScSbO6
_chemical_formula_sum 'Rb4 Sc2 Sb2 O12'
_symmetry_space_group_name_H-M 'P 1'
_symmetry_Int_Tables_number 1
_symmetry_space_group_name_Hall 'P 1'
_cell_length_a 5.9015
_cell_length_b 5.9016
_cell_length_c 8.3505
_cell_angle_alpha 90.00
_cell_angle_beta 90.00
_cell_angle_gamma 90.00
loop_
_atom_site_label
_atom_site_fract_x
_atom_site_fract_y
_atom_site_fract_z
O1 0.0000 0.7501 0.7585
Rb1 0.0000 0.2501 0.7500
O2 0.7418 0.0080 0.5000
O3 0.7419 0.4917 0.5000
Rb2 0.0000 0.2501 0.2500
O4 0.2581 0.4917 0.5000
O5 0.2419 0.5083 0.0000
O6 0.5000 0.2499 0.7415
Rb3 0.5000 0.7499 0.2500
O7 0.5000 0.2499 0.2585
Sc1 0.0000 0.7500 0.5000
O8 0.7581 0.5083 0.0000
O9 0.0000 0.7501 0.2415
O10 0.2418 0.9920 0.0000
O11 0.7582 0.9920 0.0000
O12 0.2582 0.0080 0.5000
Rb4 0.5000 0.7499 0.7500
Sb1 0.0000 0.7502 0.0000
Sb2 0.5000 0.2498 0.5000
Sc2 0.5000 0.2500 0.0000
```

Material: Rb2ScSb2O6
Method: DFT, GGA-PBE
State: relaxed

Output
space group: C2/m, No. 12
formation energy from raw total energies: -172.4 kJ/mol of atoms

```
data_Rb2ScSb2O6
_chemical_formula_sum 'Rb2 Sc1 Sb2 O6'
_symmetry_space_group_name_H-M 'P 1'
_symmetry_Int_Tables_number 1
_symmetry_space_group_name_Hall 'P 1'
_cell_length_a 6.1632
_cell_length_b 5.8949
_cell_length_c 7.2559
_cell_angle_alpha 110.25
_cell_angle_beta 90.00
_cell_angle_gamma 121.52
loop_
_atom_site_label
_atom_site_fract_x
_atom_site_fract_y
_atom_site_fract_z
O1 0.7785 0.0594 0.7248
Sc1 0.5000 0.0000 0.5000
O2 0.7245 0.4490 0.5545
Rb1 0.2994 0.5989 0.8525
Sb1 0.9227 0.8455 0.7567
Sb2 0.0773 0.1545 0.2433
O3 0.2215 0.9406 0.2752
O4 0.7191 0.9406 0.2752
O5 0.2755 0.5510 0.4455
Rb2 0.7006 0.4011 0.1475
O6 0.2809 0.0594 0.7248
```

Material: Rb3ScSb2O9
Method: DFT, GGA-PBE
State: relaxed

Output
space group: P-3m1, No. 164
formation energy from raw total energies: -156.6 kJ/mol of atoms

```
data_Rb3ScSb2O9
_chemical_formula_sum 'Rb3 Sc1 Sb2 O9'
_symmetry_space_group_name_H-M 'P 1'
_symmetry_Int_Tables_number 1
_symmetry_space_group_name_Hall 'P 1'
_cell_length_a 5.8525
_cell_length_b 5.8525
_cell_length_c 7.1935
_cell_angle_alpha 90.00
_cell_angle_beta 90.00
_cell_angle_gamma 120.00
loop_
_atom_site_label
_atom_site_fract_x
_atom_site_fract_y
_atom_site_fract_z
O1 0.1716 0.8284 0.3244
O2 0.6568 0.8284 0.3244
Rb1 0.3333 0.6667 0.6632
O3 0.5000 0.0000 0.0000
Sc1 0.0000 0.0000 0.5000
O4 0.1716 0.3432 0.3244
O5 0.8284 0.6568 0.6756
O6 0.5000 0.5000 0.0000
Rb2 0.0000 0.0000 0.0000
O7 0.3432 0.1716 0.6756
Rb3 0.6667 0.3333 0.3368
Sb1 0.6667 0.3333 0.8340
O8 0.0000 0.5000 0.0000
O9 0.8284 0.1716 0.6756
Sb2 0.3333 0.6667 0.1660
```